[1]
The following is a DFT calculation (PBE-GGA) of a geometry-optimized Ho3AgBi structure.

abc: 5.437 6.400 8.600
angles: 90.00 90.00 90.00
Sites, in units of the cell vectors:
Ag  0.500  0.750  0.306
Ag  0.500  0.250  0.694
Ho  0.000  0.750  0.249
Ho  0.500  0.750  0.638
Ho  0.500  0.000  0.000
Ho  0.500  0.250  0.362
Ho  0.000  0.250  0.751
Ho  0.500  0.500  0.000
Bi  0.000  0.250  0.146
Bi  0.000  0.750  0.854

Computed properties:
The energy relative to the elements is -0.29 eV per atom. The size of the total moment is 0.0 μB per formula unit.

---

[2]
The following is a DFT calculation (PBE-GGA) of a geometry-optimized LiGa structure.

abc: 4.407 4.407 4.407
angles: 60.00 60.00 60.00
Sites, in units of the cell vectors:
Ga  0.000  0.000  0.000
Ga  0.750  0.750  0.750
Li  0.500  0.500  0.500
Li  0.250  0.250  0.250

Computed properties:
The energy relative to the elements is -0.31 eV per atom. The size of the total moment is 0.0 μB per formula unit.

---

[3]
The following is a DFT calculation (PBE-GGA) of a geometry-optimized MgScBr2 structure.

abc: 3.597 3.691 8.883
angles: 78.39 90.00 90.00
Sites, in units of the cell vectors:
Br  0.000  0.848  0.939
Br  0.500  0.135  0.347
Sc  0.500  0.955  0.717
Mg  0.000  0.561  0.497

Computed properties:
The value obtained for the energy above the most stable polymorph in this dataset is 0.098 eV per atom. The size of the total moment is 0.8 μB per formula unit. For the formation energy without anion corrections, the calculation gives -0.8846 eV/atom.

---

[4]
The following is a DFT calculation (PBE-GGA) of a geometry-optimized ZrPa2Se6 structure.

abc: 4.068 8.279 9.202
angles: 105.15 102.77 90.00
Sites, in units of the cell vectors:
Se  0.999  0.226  0.999
Se  0.658  0.083  0.317
Se  0.342  0.917  0.683
Se  0.327  0.432  0.654
Se  0.001  0.774  0.001
Se  0.673  0.568  0.346
Pa  0.161  0.321  0.321
Pa  0.839  0.679  0.679
Zr  0.500  0.000  0.000

Computed properties:
The value obtained for the energy above the most stable polymorph in this dataset is 0.005 eV per atom. The size of the total moment is 2.0 μB per formula unit. For the formation energy without anion corrections, the calculation gives -1.3262 eV/atom.

---

[5]
The following is a DFT calculation (PBE-GGA) of a geometry-optimized SrCeInHg structure.

abc: 3.872 3.872 8.193
angles: 90.00 90.00 90.00
Sites, in units of the cell vectors:
Hg  0.500  0.500  0.591
In  0.500  0.500  0.124
Sr  0.000  0.000  0.851
Ce  0.000  0.000  0.363

Computed properties:
The energy relative to the elements is -0.39 eV per atom. The value obtained for the energy above the most stable polymorph in this dataset is 0.000 eV per atom. The size of the total moment is 1.2 μB per formula unit.

---

[6]
The following is a DFT calculation (PBE-GGA) of a geometry-optimized Ac4Pd3Rh structure.

abc: 4.157 4.617 11.628
angles: 90.00 90.00 90.00
Sites, in units of the cell vectors:
Ac  0.500  0.000  0.633
Ac  0.500  0.500  0.356
Ac  0.000  0.500  0.871
Ac  0.000  0.000  0.134
Pd  0.500  0.000  0.913
Pd  0.000  0.500  0.585
Pd  0.000  0.000  0.415
Rh  0.500  0.500  0.093

Computed properties:
The energy relative to the elements is -0.78 eV per atom. The size of the total moment is 0.0 μB per formula unit.

---

[7]
The following is a DFT calculation (PBE-GGA) of a geometry-optimized ZrSiTc structure.

abc: 7.004 6.868 7.800
angles: 116.12 116.68 90.00
Sites, in units of the cell vectors:
Zr  0.157  0.952  0.404
Zr  0.753  0.048  0.596
Zr  0.157  0.452  0.404
Zr  0.350  0.750  0.000
Zr  0.350  0.250  0.000
Zr  0.753  0.548  0.596
Si  0.420  0.667  0.333
Si  0.753  0.250  0.000
Si  0.753  0.750  0.000
Si  0.087  0.833  0.667
Si  0.420  0.167  0.333
Si  0.087  0.333  0.667
Tc  0.753  0.127  0.253
Tc  0.753  0.627  0.253
Tc  0.500  0.873  0.747
Tc  0.007  0.500  0.000
Tc  0.500  0.373  0.747
Tc  0.007  0.000  0.000

Computed properties:
The value obtained for the energy above the most stable polymorph in this dataset is 0.000 eV per atom. The size of the total moment is 0.0 μB per formula unit. For the formation energy without anion corrections, the calculation gives -0.8787 eV/atom.

---

[8]
The following is a DFT calculation (PBE-GGA) of a geometry-optimized LiSiP structure.

abc: 4.236 4.236 4.236
angles: 60.00 60.00 60.00
Sites, in units of the cell vectors:
Si  0.000  0.000  0.000
P  0.250  0.250  0.250
Li  0.500  0.500  0.500

Computed properties:
The value obtained for the energy above the most stable polymorph in this dataset is 0.397 eV per atom. The size of the total moment is 0.0 μB per formula unit. For the formation energy without anion corrections, the calculation gives 0.1199 eV/atom.

---

[9]
The following is a DFT calculation (PBE-GGA) of a geometry-optimized TmNpRh structure.

abc: 6.079 4.739 12.720
angles: 81.18 76.17 50.11
Sites, in units of the cell vectors:
Np  0.658  0.500  0.684
Np  0.842  0.500  0.316
Np  0.908  0.000  0.184
Np  0.092  0.000  0.816
Tm  0.436  0.000  0.128
Tm  0.564  0.000  0.872
Tm  0.186  0.500  0.628
Tm  0.314  0.500  0.372
Rh  0.554  0.892  0.500
Rh  0.946  0.108  0.500
Rh  0.196  0.608  0.000
Rh  0.804  0.392  0.000

Computed properties:
The energy relative to the elements is 0.14 eV per atom. The size of the total moment is 4.1 μB per formula unit.

---

[10]
The following is a DFT calculation (PBE-GGA) of a geometry-optimized RbCa3Ga structure.

abc: 6.033 6.033 6.033
angles: 90.00 90.00 90.00
Sites, in units of the cell vectors:
Rb  0.500  0.500  0.500
Ca  0.500  0.000  0.000
Ca  0.000  0.500  0.000
Ca  0.000  0.000  0.500
Ga  0.000  0.000  0.000

Computed properties:
The energy relative to the elements is -0.05 eV per atom. The value obtained for the energy above the most stable polymorph in this dataset is 0.000 eV per atom. The size of the total moment is 0.0 μB per formula unit.

---

[11]
The following is a DFT calculation (PBE-GGA) of a geometry-optimized Dy4Te2PPd structure.

abc: 4.126 7.346 7.384
angles: 108.65 90.00 90.00
Sites, in units of the cell vectors:
P  0.000  0.000  0.000
Dy  0.000  0.741  0.213
Dy  0.000  0.259  0.787
Dy  0.500  0.769  0.785
Dy  0.500  0.231  0.215
Pd  0.500  0.500  0.000
Te  0.500  0.000  0.500
Te  0.000  0.500  0.500

Computed properties:
The size of the total moment is 0.0 μB per formula unit. For the formation energy without anion corrections, the calculation gives -1.2642 eV/atom.

---

[12]
The following is a DFT calculation (PBE-GGA) of a geometry-optimized AcPr4Dy2Tm structure.

abc: 5.207 6.359 9.752
angles: 89.67 74.52 65.83
Sites, in units of the cell vectors:
Ac  0.500  0.500  0.500
Pr  0.121  0.126  0.632
Pr  0.879  0.874  0.368
Pr  0.627  0.624  0.121
Pr  0.373  0.376  0.879
Tm  0.000  0.000  0.000
Dy  0.742  0.759  0.757
Dy  0.258  0.241  0.243

Computed properties:
The energy relative to the elements is 0.03 eV per atom. The size of the total moment is 0.0 μB per formula unit.

---

[13]
The following is a DFT calculation (PBE-GGA) of a geometry-optimized Cs3PrS3 structure.

abc: 15.171 8.790 11.333
angles: 52.29 90.00 90.00
Sites, in units of the cell vectors:
S  0.699  0.317  0.198
S  0.801  0.317  0.698
S  0.091  0.174  0.857
S  0.409  0.174  0.357
S  0.301  0.683  0.802
S  0.591  0.826  0.643
S  0.909  0.826  0.143
S  0.199  0.683  0.302
S  0.458  0.145  0.772
S  0.958  0.855  0.728
S  0.542  0.855  0.228
S  0.042  0.145  0.272
Cs  0.876  0.383  0.974
Cs  0.335  0.178  0.036
Cs  0.624  0.383  0.474
Cs  0.884  0.334  0.381
Cs  0.376  0.617  0.526
Cs  0.665  0.822  0.964
Cs  0.165  0.178  0.536
Cs  0.116  0.666  0.619
Cs  0.124  0.617  0.026
Cs  0.835  0.822  0.464
Cs  0.616  0.334  0.881
Cs  0.384  0.666  0.119
Pr  0.929  0.048  0.837
Pr  0.429  0.952  0.663
Pr  0.071  0.952  0.163
Pr  0.571  0.048  0.337

Computed properties:
The size of the total moment is 0.0 μB per formula unit. For the formation energy without anion corrections, the calculation gives -1.4129 eV/atom.

---

[14]
The following is a DFT calculation (PBE-GGA) of a geometry-optimized La4Pm7Nd structure.

abc: 7.424 6.434 11.820
angles: 79.51 51.12 90.03
Sites, in units of the cell vectors:
La  0.169  0.223  0.331
La  0.420  0.722  0.332
La  0.831  0.777  0.669
La  0.580  0.278  0.668
Pm  0.670  0.222  0.329
Pm  0.248  0.500  0.001
Pm  0.330  0.778  0.671
Pm  0.752  0.500  0.999
Pm  0.500  0.000  0.000
Pm  0.919  0.725  0.329
Pm  0.081  0.275  0.671
Nd  0.000  0.000  0.000

Computed properties:
The energy relative to the elements is 0.02 eV per atom. The value obtained for the energy above the most stable polymorph in this dataset is 0.000 eV per atom. The size of the total moment is 0.0 μB per formula unit.

---

[15]
The following is a DFT calculation (PBE-GGA) of a geometry-optimized AlP2Rh structure.

abc: 3.592 3.592 6.004
angles: 73.62 73.62 57.94
Sites, in units of the cell vectors:
P  0.505  0.505  0.481
P  0.995  0.995  0.019
Rh  0.250  0.250  0.250
Al  0.750  0.750  0.750

Computed properties:
The energy relative to the elements is -0.28 eV per atom. The size of the total moment is 0.0 μB per formula unit.

---

[16]
The following is a DFT calculation (PBE-GGA) of a geometry-optimized CsNa2GaCu structure.

abc: 5.847 5.847 4.730
angles: 90.00 90.00 90.00
Sites, in units of the cell vectors:
Ga  0.000  0.000  0.500
Na  0.500  0.000  0.000
Na  0.000  0.500  0.000
Cs  0.500  0.500  0.500
Cu  0.000  0.000  0.000

Computed properties:
The energy relative to the elements is 0.10 eV per atom. The value obtained for the energy above the most stable polymorph in this dataset is 0.000 eV per atom. The size of the total moment is 0.0 μB per formula unit.

---

[17]
The following is a DFT calculation (PBE-GGA) of a geometry-optimized Ba2CoNi structure.

abc: 8.301 8.301 8.301
angles: 150.58 149.35 43.00
Sites, in units of the cell vectors:
Ba  0.993  0.993  0.000
Ba  0.759  0.259  0.500
Co  0.398  0.398  0.000
Ni  0.350  0.850  0.500

Computed properties:
The energy relative to the elements is 0.22 eV per atom. The value obtained for the energy above the most stable polymorph in this dataset is 0.023 eV per atom. The size of the total moment is 0.9 μB per formula unit.

---

[18]
The following is a DFT calculation (PBE-GGA) of a geometry-optimized ZrMnAl structure.

abc: 4.378 4.378 4.378
angles: 60.00 60.00 60.00
Sites, in units of the cell vectors:
Zr  0.000  0.000  0.000
Al  0.500  0.500  0.500
Mn  0.750  0.750  0.750

Computed properties:
The energy relative to the elements is 0.23 eV per atom. The size of the total moment is 3.7 μB per formula unit.

---

[19]
The following is a DFT calculation (PBE-GGA) of a geometry-optimized CrSbIr2 structure.

abc: 4.862 4.862 4.862
angles: 131.84 131.84 70.48
Sites, in units of the cell vectors:
Ir  0.250  0.750  0.500
Ir  0.000  0.000  0.000
Sb  0.500  0.500  0.000
Cr  0.750  0.250  0.500

Computed properties:
The size of the total moment is 2.1 μB per formula unit. For the formation energy without anion corrections, the calculation gives 0.1041 eV/atom.

---

[20]
The following is a DFT calculation (PBE-GGA) of a geometry-optimized Na2InPb6 structure.

abc: 3.460 9.842 9.842
angles: 57.37 79.78 79.78
Sites, in units of the cell vectors:
Pb  0.673  0.999  0.655
Pb  0.500  0.322  0.678
Pb  0.327  0.001  0.345
Pb  0.500  0.678  0.322
Pb  0.673  0.655  0.999
Pb  0.327  0.345  0.001
In  0.000  0.000  0.000
Na  0.851  0.648  0.648
Na  0.149  0.352  0.352

Computed properties:
The energy relative to the elements is -0.05 eV per atom. The value obtained for the energy above the most stable polymorph in this dataset is 0.043 eV per atom. The size of the total moment is 0.0 μB per formula unit.